Material: Co2OsW
Method: DFT, PBE
State: optimized geometry

The structure in POSCAR format:
```
Co2OsW
1.0
2.433 -2.913 1.789
-0.936 -1.456 3.823
-1.417 -3.922 0.462
Co Os W
2 1 1
direct
0.250 0.250 0.250
0.750 0.750 0.750
0.500 0.500 0.500
0.000 0.000 0.000
```

Summary:
Relative energy among the computed polymorphs in meV/atom: 322.7
Formation energy in eV per formula unit: 1.29


Material: Co2OsW
Method: DFT, PBE
State: optimized geometry

The structure in POSCAR format:
```
Co2OsW
1.0
-0.907 2.317 0.966
-1.898 0.548 -3.095
-4.165 -2.509 2.109
Co Os W
2 1 1
direct
0.000 0.000 0.013
0.500 0.500 0.243
0.000 0.000 0.478
0.500 0.500 0.766
```

Summary:
Relative energy among the computed polymorphs in meV/atom: 106.3
Formation energy in eV per formula unit: 0.43


Material: CoOsW
Method: DFT, PBE
State: optimized geometry

The structure in POSCAR format:
```
CoOsW
1.0
-3.972 0.394 -2.597
-1.291 -3.087 -3.388
1.520 0.145 4.511
Co Os W
1 1 1
direct
0.006 0.006 0.000
0.332 0.332 0.000
0.662 0.662 0.000
```

Summary:
Relative energy among the computed polymorphs in meV/atom: 183.7
Formation energy in eV per formula unit: 0.61


Material: Co2OsW
Method: DFT, PBE
State: optimized geometry

The structure in POSCAR format:
```
Co2OsW
1.0
-2.424 0.663 -0.994
0.114 -2.109 -1.686
-3.141 -4.103 4.921
Co Os W
2 1 1
direct
0.000 0.000 0.015
0.500 0.500 0.240
0.000 0.000 0.476
0.500 0.500 0.769
```

Summary:
Relative energy among the computed polymorphs in meV/atom: 170.7
Formation energy in eV per formula unit: 0.69


Material: CoOs2W
Method: DFT, PBE
State: optimized geometry

The structure in POSCAR format:
```
CoOs2W
1.0
-1.497 4.424 0.258
-3.498 2.968 -0.918
-2.272 -0.151 4.052
Co Os W
1 2 1
direct
0.749 0.749 0.748
0.000 0.000 0.007
0.253 0.253 0.230
0.498 0.498 0.514
```

Summary:
Relative energy among the computed polymorphs in meV/atom: 129.5
Formation energy in eV per formula unit: 0.53


Material: Co2OsW2
Method: DFT, PBE
State: optimized geometry

The structure in POSCAR format:
```
Co2OsW2
1.0
3.986 0.000 0.000
0.000 3.986 0.000
1.993 1.993 4.625
Co Os W
2 1 2
direct
0.389 0.389 0.222
0.611 0.611 0.778
0.000 0.000 0.000
0.750 0.250 0.500
0.250 0.750 0.500
```

Summary:
Relative energy among the computed polymorphs in meV/atom: 603.9
Formation energy in eV per formula unit: 3.47


Material: CoOsW2
Method: DFT, PBE
State: optimized geometry

The structure in POSCAR format:
```
CoOsW2
1.0
0.000 3.082 3.082
3.082 0.000 3.082
3.082 3.082 0.000
Co Os W
1 1 2
direct
0.000 0.000 0.000
0.500 0.500 0.500
0.250 0.250 0.250
0.750 0.750 0.750
```

Summary:
Relative energy among the computed polymorphs in meV/atom: 295.2
Formation energy in eV per formula unit: 1.34


Material: Co2OsW
Method: DFT, PBE
State: optimized geometry

The structure in POSCAR format:
```
Co2OsW
1.0
-4.220 -0.356 1.711
-1.234 -4.397 0.093
3.732 2.146 1.527
Co Os W
2 1 1
direct
0.000 0.000 0.000
0.750 0.250 0.500
0.500 0.500 0.000
0.250 0.750 0.500
```

Summary:
Relative energy among the computed polymorphs in meV/atom: 34.0
Formation energy in eV per formula unit: 0.14


Material: CoOs2W
Method: DFT, PBE
State: optimized geometry

The structure in POSCAR format:
```
CoOs2W
1.0
-2.070 4.110 -0.782
-4.632 -0.525 0.252
3.433 -1.249 2.906
Co Os W
1 2 1
direct
0.250 0.750 0.500
0.000 0.000 0.000
0.750 0.250 0.500
0.500 0.500 0.000
```

Summary:
Relative energy among the computed polymorphs in meV/atom: 39.0
Formation energy in eV per formula unit: 0.17


Material: CoOs2W
Method: DFT, PBE
State: optimized geometry

The structure in POSCAR format:
```
CoOs2W
1.0
0.000 3.057 3.057
3.057 0.000 3.057
3.057 3.057 0.000
Co Os W
1 2 1
direct
0.000 0.000 0.000
0.250 0.250 0.250
0.750 0.750 0.750
0.500 0.500 0.500
```

Summary:
Relative energy among the computed polymorphs in meV/atom: 264.4
Formation energy in eV per formula unit: 1.07


Material: CoOsW
Method: DFT, PBE
State: optimized geometry

The structure in POSCAR format:
```
CoOsW
1.0
-1.448 -0.983 2.080
-1.506 -3.164 -2.543
6.067 -3.518 0.785
Co Os W
2 2 2
direct
0.443 0.250 0.886
0.557 0.750 0.114
0.781 0.250 0.561
0.219 0.750 0.439
0.898 0.750 0.796
0.102 0.250 0.204
```

Summary:
Relative energy among the computed polymorphs in meV/atom: 0.0
Formation energy in eV per formula unit: 0.06


Material: Co2OsW
Method: DFT, PBE
State: optimized geometry

The structure in POSCAR format:
```
Co2OsW
1.0
-4.045 -6.693 3.598
-1.772 -7.911 2.895
-1.915 -6.581 5.209
Co Os W
2 1 1
direct
0.998 0.998 0.998
0.502 0.502 0.502
0.250 0.250 0.250
0.750 0.750 0.750
```

Summary:
Relative energy among the computed polymorphs in meV/atom: 246.7
Formation energy in eV per formula unit: 0.99